Record 1
Crystalline CaScSb2 at its relaxed geometry. Source: Alexandria via LeMat-Bulk, functional PBE.

For the raw formation energy, the calculation gives -0.76 eV/atom. The calculation puts the energy relative to the lowest polymorph listed for this composition at 81 meV per atom.

Cell: 3.657 4.910 6.210 Å, 90.00 90.00 90.00°
Space group Pmmm (No. 47)
Symmetry-distinct sites (fractional):
Ca (0.000, 0.000, 0.000)
Sc (0.500, 0.500, 0.500)
Sb (0.000, 0.000, 0.500)
Sb (0.500, 0.500, 0.000)



Record 2
Crystalline ScPd2Br at its relaxed geometry. Source: Alexandria via LeMat-Bulk, functional PBE.

For the raw formation energy, the calculation gives -0.28 eV/atom. The calculation puts the energy relative to the lowest polymorph listed for this composition at 61 meV per atom.

Cell: 6.682 6.682 6.682 Å, 90.00 90.00 90.00°
Space group Fm-3m (No. 225)
Symmetry-distinct sites (fractional):
Sc (0.000, 0.000, 0.000)
Pd (0.250, 0.250, 0.250)
Br (0.000, 0.000, 0.500)



Record 3
Crystalline SmY2Er9 at its relaxed geometry. Source: Alexandria via LeMat-Bulk, functional PBE.

The calculation puts the energy relative to the lowest polymorph listed for this composition at 28 meV per atom. The formation energy is 53 meV per atom.

Cell: 11.1623 11.1623 3.4835 Å, 90.00 90.00 120.00°
Space group P6/mmm (No. 191)
Symmetry-distinct sites (fractional):
Sm (0.0000, 0.0000, 0.0000)
Y (0.3333, 0.6667, 0.0000)
Er (0.0000, 0.5000, 0.0000)
Er (0.1771, 0.3541, 0.5000)



Record 4
Crystalline MgS at its relaxed geometry. Source: Alexandria via LeMat-Bulk, functional PBE.

For the raw formation energy, the calculation gives -1.36 eV/atom.

Cell: 4.034 12.453 5.954 Å, 90.00 90.00 90.00°
Space group Pmmn (No. 59, origin choice 2)
Symmetry-distinct sites (fractional):
Mg (0.250, 0.100, 0.078)
Mg (0.250, 0.750, 0.418)
S (0.250, 0.250, 0.344)
S (0.250, 0.595, 0.163)



Record 5
Crystalline Tb2ErAlN at its relaxed geometry. Source: Alexandria via LeMat-Bulk, functional PBE.

For the raw formation energy, the calculation gives -0.91 eV/atom.

Cell: 4.805 4.805 4.720 Å, 90.00 90.00 90.00°
Space group P4/mmm (No. 123)
Symmetry-distinct sites (fractional):
Tb (0.000, 0.500, 0.000)
Er (0.000, 0.000, 0.500)
Al (0.500, 0.500, 0.500)
N (0.000, 0.000, 0.000)



Record 6
Crystalline Th4HgSbTe2 at its relaxed geometry. Source: Alexandria via LeMat-Bulk, functional PBE.

For the raw formation energy, the calculation gives -0.78 eV/atom.

Cell: 7.660 4.524 7.822 Å, 90.00 109.85 90.00°
Space group P2/m (No. 10)
Symmetry-distinct sites (fractional):
Th (0.238, 0.000, 0.241)
Th (0.243, 0.500, 0.752)
Hg (0.000, 0.500, 0.000)
Sb (0.000, 0.000, 0.500)
Te (0.500, 0.000, 0.000)
Te (0.500, 0.500, 0.500)



Record 7
Crystalline MgW2C at its relaxed geometry. Source: Alexandria via LeMat-Bulk, functional PBE.

The calculation puts the energy relative to the lowest polymorph listed for this composition at 527 meV per atom. The formation energy is 1796 meV per atom.

Cell: 6.011 6.011 6.011 Å, 90.00 90.00 90.00°
Space group Fm-3m (No. 225)
Symmetry-distinct sites (fractional):
Mg (0.000, 0.000, 0.000)
W (0.250, 0.250, 0.250)
C (0.000, 0.000, 0.500)



Record 8
Crystalline CdIn2Cu6 at its relaxed geometry. Source: Alexandria via LeMat-Bulk, functional PBE.

The formation energy is 250 meV per atom.

Cell: 8.509 8.509 8.509 Å, 90.00 90.00 90.00°
Space group Fm-3m (No. 225)
Symmetry-distinct sites (fractional):
Cd (0.000, 0.000, 0.000)
In (0.250, 0.250, 0.250)
Cu (0.000, 0.000, 0.295)